LiCuAs2 | PBE | optimized geometry

The space group is P4mm (No. 99) and the conventional cell measures 3.7006, 3.7006 and 4.9051 Å, with angles of 90.00, 90.00 and 90.00 degrees. The distinct sites, in fractional coordinates, are Li at (0.0000, 0.0000, 0.0000), Cu at (0.5000, 0.5000, 0.7717), As at (0.0000, 0.0000, 0.4940) and As at (0.5000, 0.5000, 0.2726).

The calculation puts the calculated formation energy at -0.0319 eV per atom. As for the energy relative to the lowest polymorph listed for this composition: 159 meV/atom.